! LaPmSiPt (PBE, optimized geometry); values from VASP
! total magnetization: 0.00 Bohr magnetons per cell
! VASP energy: -24.2 eV per cell
! formation energy without anion corrections: -754 meV per atom
! density of states at the Fermi level: 0.3388 states/eV per atom
&SYSTEM
  ibrav = 0, nat = 4, ntyp = 4
/
ATOMIC_SPECIES
La 138.91 La.upf
Pm 145.00 Pm.upf
Si 28.09 Si.upf
Pt 195.08 Pt.upf
ATOMIC_POSITIONS crystal
La 0.0000 0.0000 0.0000
Pm 0.5000 0.5000 0.5000
Si 0.2500 0.2500 0.2500
Pt 0.7500 0.7500 0.7500
CELL_PARAMETERS angstrom
0.0000 3.6579 3.6579
3.6579 0.0000 3.6579
3.6579 3.6579 0.0000